(1)
An optimized crystal structure of Zn3Pt12Rh, computed with PBE.

Summary:
Total DFT energy (no corrections): -5.492 eV per atom
Volume: 243.3 Å³ per cell
Density: 18018 kg/m³
Total magnetic moment: 0.91 μB per formula unit

Cell: 3.927 3.927 15.780 Å, 90.00 90.00 90.00°
Space group P4/mmm (No. 123)
Asymmetric unit:
Zn (0.000, 0.000, 0.000) [1 per cell]
Zn (0.000, 0.000, 0.248) [2 per cell]
Pt (0.000, 0.500, 0.125) [4 per cell]
Pt (0.000, 0.500, 0.374) [4 per cell]
Pt (0.500, 0.500, 0.000) [1 per cell]
Pt (0.500, 0.500, 0.249) [2 per cell]
Pt (0.500, 0.500, 0.500) [1 per cell]
Rh (0.000, 0.000, 0.500) [1 per cell]

(2)
An optimized crystal structure of MgTc3O12, computed with PBE.

Summary:
ΔE_f (raw): -1.40 eV per atom
Volume: 2008.4 Å³ per cell
Density: 2531 kg/m³
Total magnetic moment: 1.20 μB per formula unit

Cell: 10.1959 10.1959 22.3085 Å, 90.00 90.00 120.00°
Space group R3c (No. 161, hexagonal axes)
Asymmetric unit:
Mg (0.0000, 0.0000, 0.0000) [6 per cell]
Tc (0.1228, 0.3871, 0.0423) [18 per cell]
O (0.0512, 0.1914, 0.0500) [18 per cell]
O (0.1071, 0.3537, 0.3532) [18 per cell]
O (0.1850, 0.0550, 0.4433) [18 per cell]
O (0.1966, 0.4573, 0.4875) [18 per cell]

(3)
An optimized crystal structure of HfTeIr, computed with PBE.

Summary:
ΔE_f (raw): -0.67 eV per atom
Volume: 305.9 Å³ per cell
Density: 10818 kg/m³
Total magnetic moment: 0.00 μB per formula unit

Cell: 7.730 4.464 9.251 Å, 90.00 106.60 90.00°
Space group Cm (No. 8)
Asymmetric unit:
Hf (0.000, 0.000, 0.000) [2 per cell]
Hf (0.250, 0.000, 0.758) [2 per cell]
Te (0.025, 0.500, 0.585) [2 per cell]
Te (0.243, 0.500, 0.222) [2 per cell]
Ir (0.129, 0.500, 0.889) [2 per cell]
Ir (0.356, 0.000, 0.066) [2 per cell]

(4)
An optimized crystal structure of TlReBr, computed with PBE.

Summary:
ΔE_f (raw): 0.96 eV per atom
Volume: 144.5 Å³ per cell
Density: 10814 kg/m³
Total magnetic moment: 0.00 μB per formula unit

Cell: 3.128 3.128 14.764 Å, 90.00 90.00 90.00°
Space group I4mm (No. 107)
Asymmetric unit:
Tl (0.000, 0.000, 0.000) [2 per cell]
Re (0.000, 0.000, 0.663) [2 per cell]
Br (0.000, 0.000, 0.250) [2 per cell]

(5)
An optimized crystal structure of PaGaCo6, computed with PBE.

Summary:
Total DFT energy (no corrections): -6.892 eV per atom
Volume: 103.1 Å³ per cell
Density: 10538 kg/m³
Total magnetic moment: 5.74 μB per formula unit

Cell: 4.689 4.689 4.689 Å, 90.00 90.00 90.00°
Space group Pm-3 (No. 200)
Asymmetric unit:
Pa (0.000, 0.000, 0.000) [1 per cell]
Ga (0.500, 0.500, 0.500) [1 per cell]
Co (0.000, 0.258, 0.500) [6 per cell]

(6)
An optimized crystal structure of BaGaSi2Te8, computed with PBE.

Summary:
ΔE_f (raw): -0.25 eV per atom
Volume: 388.6 Å³ per cell
Density: 5487 kg/m³
Total magnetic moment: 0.00 μB per formula unit

Cell: 6.5684 6.5684 10.3999 Å, 90.00 90.00 120.00°
Space group P-3 (No. 147)
Asymmetric unit:
Ba (0.0000, 0.0000, 0.0000) [1 per cell]
Ga (0.0000, 0.0000, 0.5000) [1 per cell]
Si (0.3333, 0.6667, 0.7545) [2 per cell]
Te (0.0477, 0.7070, 0.3154) [6 per cell]
Te (0.3333, 0.6667, 0.9955) [2 per cell]

(7)
An optimized crystal structure of Hg6I, computed with PBE.

Summary:
ΔE_f (raw): 0.01 eV per atom
Volume: 222.5 Å³ per cell
Density: 9931 kg/m³
Total magnetic moment: 0.00 μB per formula unit

Cell: 4.982 4.982 8.964 Å, 90.00 90.00 90.00°
Space group P4/mmm (No. 123)
Asymmetric unit:
Hg (0.000, 0.000, 0.000) [1 per cell]
Hg (0.000, 0.500, 0.215) [4 per cell]
Hg (0.500, 0.500, 0.500) [1 per cell]
I (0.000, 0.000, 0.500) [1 per cell]

(8)
An optimized crystal structure of SiTeMo, computed with PBE.

Summary:
ΔE_f (raw): 0.23 eV per atom
Volume: 113.0 Å³ per cell
Density: 7398 kg/m³
Total magnetic moment: 0.00 μB per formula unit

Cell: 5.052 4.531 5.125 Å, 90.00 105.67 90.00°
Space group Cm (No. 8)
Asymmetric unit:
Si (0.000, 0.000, 0.000) [2 per cell]
Te (0.275, 0.000, 0.585) [2 per cell]
Mo (0.052, 0.500, 0.201) [2 per cell]

(9)
An optimized crystal structure of NbGaS2Cl, computed with PBE.

Summary:
ΔE_f (raw): 0.29 eV per atom
Volume: 103.0 Å³ per cell
Density: 4226 kg/m³
Total magnetic moment: 2.73 μB per formula unit

Cell: 4.738 4.738 4.589 Å, 90.00 90.00 90.00°
Space group P4/mmm (No. 123)
Asymmetric unit:
Nb (0.000, 0.000, 0.000) [1 per cell]
Ga (0.500, 0.500, 0.500) [1 per cell]
S (0.000, 0.500, 0.500) [2 per cell]
Cl (0.500, 0.500, 0.000) [1 per cell]

(10)
An optimized crystal structure of Nd6DyHo2Tm3, computed with PBE.

Summary:
Total DFT energy (no corrections): -4.635 eV per atom
Volume: 783.6 Å³ per cell
Density: 7903 kg/m³
Total magnetic moment: 0.00 μB per formula unit

Cell: 6.248 10.819 11.776 Å, 90.00 100.15 90.00°
Space group C2/m (No. 12)
Asymmetric unit:
Nd (0.249, 0.000, 0.249) [4 per cell]
Nd (0.249, 0.333, 0.249) [8 per cell]
Dy (0.000, 0.000, 0.500) [2 per cell]
Ho (0.000, 0.333, 0.500) [4 per cell]
Tm (0.000, 0.167, 0.000) [4 per cell]
Tm (0.000, 0.500, 0.000) [2 per cell]

(11)
An optimized crystal structure of CaTb8Dy6, computed with PBE.

Summary:
Total DFT energy (no corrections): -4.250 eV per atom
Volume: 1441.1 Å³ per cell
Density: 7904 kg/m³
Total magnetic moment: 0.00 μB per formula unit

Cell: 9.6302 9.6302 17.9425 Å, 90.00 90.00 120.00°
Space group R-3 (No. 148, hexagonal axes)
Asymmetric unit:
Ca (0.0000, 0.0000, 0.0000) [3 per cell]
Tb (0.0000, 0.0000, 0.2398) [6 per cell]
Tb (0.0468, 0.7677, 0.9026) [18 per cell]
Dy (0.0273, 0.7927, 0.4102) [18 per cell]

(12)
An optimized crystal structure of LaAl3As, computed with PBE.

Summary:
Total DFT energy (no corrections): -2.765 eV per atom
Volume: 183.1 Å³ per cell
Density: 2673 kg/m³
Total magnetic moment: 0.00 μB per formula unit

Cell: 5.679 5.679 5.679 Å, 90.00 90.00 90.00°
Space group Pm-3m (No. 221)
Asymmetric unit:
La (0.000, 0.000, 0.000) [1 per cell]
Al (0.000, 0.000, 0.500) [3 per cell]
As (0.500, 0.500, 0.500) [1 per cell]

(13)
An optimized crystal structure of ZrReBr, computed with PBE.

Summary:
ΔE_f (raw): 0.27 eV per atom
Volume: 261.6 Å³ per cell
Density: 9072 kg/m³
Total magnetic moment: 0.00 μB per formula unit

Cell: 3.481 5.193 14.471 Å, 90.00 90.00 90.00°
Space group Fmm2 (No. 42)
Asymmetric unit:
Zr (0.000, 0.000, 0.000) [4 per cell]
Re (0.000, 0.000, 0.366) [4 per cell]
Br (0.000, 0.000, 0.650) [4 per cell]

(14)
An optimized crystal structure of Mg7Ag, computed with PBE.

Summary:
Total DFT energy (no corrections): -1.787 eV per atom
Volume: 699.2 Å³ per cell
Density: 2641 kg/m³
Total magnetic moment: 0.00 μB per formula unit

Cell: 8.876 8.876 8.876 Å, 90.00 90.00 90.00°
Space group Fm-3m (No. 225)
Asymmetric unit:
Mg (0.000, 0.000, 0.000) [4 per cell]
Mg (0.000, 0.250, 0.250) [24 per cell]
Ag (0.000, 0.000, 0.500) [4 per cell]

(15)
An optimized crystal structure of LiAsPtO6, computed with PBE.

Summary:
ΔE_f (raw): -0.91 eV per atom
Volume: 203.5 Å³ per cell
Density: 6087 kg/m³
Total magnetic moment: 1.95 μB per formula unit

Cell: 5.0573 5.0573 9.1862 Å, 90.00 90.00 120.00°
Space group P-31c (No. 163)
Asymmetric unit:
Li (0.0000, 0.0000, 0.0000) [2 per cell]
As (0.3333, 0.6667, 0.2500) [2 per cell]
Pt (0.3333, 0.6667, 0.7500) [2 per cell]
O (0.0173, 0.3647, 0.1383) [12 per cell]

(16)
An optimized crystal structure of Pt2BrF, computed with PBE.

Summary:
ΔE_f (raw): 0.33 eV per atom
Volume: 264.1 Å³ per cell
Density: 12300 kg/m³
Total magnetic moment: 0.00 μB per formula unit

Cell: 6.826 6.826 5.669 Å, 90.00 90.00 90.00°
Space group I-42d (No. 122)
Asymmetric unit:
Pt (0.234, 0.250, 0.125) [8 per cell]
Br (0.000, 0.000, 0.500) [4 per cell]
F (0.000, 0.000, 0.000) [4 per cell]

(17)
An optimized crystal structure of V3Cr4, computed with PBE.

Summary:
Total DFT energy (no corrections): -9.495 eV per atom
Volume: 514.5 Å³ per cell
Density: 6987 kg/m³
Total magnetic moment: 0.00 μB per formula unit

Cell: 10.8468 10.8468 5.0495 Å, 90.00 90.00 120.00°
Space group R-3 (No. 148, hexagonal axes)
Asymmetric unit:
V (0.0479, 0.2380, 0.1668) [18 per cell]
Cr (0.0000, 0.0000, 0.0000) [3 per cell]
Cr (0.0000, 0.0000, 0.5000) [3 per cell]
Cr (0.0473, 0.2364, 0.6660) [18 per cell]

(18)
An optimized crystal structure of BeInSb, computed with PBE.

Summary:
ΔE_f (raw): 0.43 eV per atom
Volume: 130.7 Å³ per cell
Density: 6239 kg/m³
Total magnetic moment: 0.00 μB per formula unit

Cell: 3.187 3.187 12.872 Å, 90.00 90.00 90.00°
Space group I4mm (No. 107)
Asymmetric unit:
Be (0.000, 0.000, 0.000) [2 per cell]
In (0.000, 0.000, 0.638) [2 per cell]
Sb (0.000, 0.000, 0.374) [2 per cell]

(19)
An optimized crystal structure of Ce2PrFe, computed with PBE.

Summary:
Total DFT energy (no corrections): -6.009 eV per atom
Volume: 303.8 Å³ per cell
Density: 7821 kg/m³
Total magnetic moment: 0.33 μB per formula unit

Cell: 4.3735 4.3735 18.3415 Å, 90.00 90.00 120.00°
Space group R-3m (No. 166, hexagonal axes)
Asymmetric unit:
Ce (0.0000, 0.0000, 0.2228) [6 per cell]
Pr (0.0000, 0.0000, 0.0000) [3 per cell]
Fe (0.0000, 0.0000, 0.5000) [3 per cell]

(20)
An optimized crystal structure of TaAgI2, computed with PBE.

Summary:
ΔE_f (raw): 0.77 eV per atom
Volume: 362.9 Å³ per cell
Density: 9932 kg/m³
Total magnetic moment: 0.00 μB per formula unit

Cell: 7.133 7.133 7.133 Å, 90.00 90.00 90.00°
Space group Fm-3m (No. 225)
Asymmetric unit:
Ta (0.000, 0.000, 0.000) [4 per cell]
Ag (0.000, 0.000, 0.500) [4 per cell]
I (0.250, 0.250, 0.250) [8 per cell]

(21)
An optimized crystal structure of Pm2ThScTe4, computed with PBE.

Summary:
ΔE_f (raw): -1.20 eV per atom
Volume: 241.4 Å³ per cell
Density: 7412 kg/m³
Total magnetic moment: 0.00 μB per formula unit

Cell: 7.579 4.374 7.709 Å, 90.00 109.20 90.00°
Space group P2/m (No. 10)
Asymmetric unit:
Pm (0.000, 0.000, 0.000) [1 per cell]
Pm (0.000, 0.500, 0.500) [1 per cell]
Th (0.500, 0.000, 0.500) [1 per cell]
Sc (0.500, 0.500, 0.000) [1 per cell]
Te (0.256, 0.500, 0.239) [2 per cell]
Te (0.266, 0.000, 0.767) [2 per cell]

(22)
An optimized crystal structure of Rb3Pm3IrO8, computed with PBE.

Summary:
ΔE_f (raw): -2.18 eV per atom
Volume: 843.2 Å³ per cell
Density: 5977 kg/m³
Total magnetic moment: 1.06 μB per formula unit

Cell: 7.0131 7.0131 19.7957 Å, 90.00 90.00 120.00°
Space group R-3m (No. 166, hexagonal axes)
Asymmetric unit:
Rb (0.0000, 0.5000, 0.0000) [9 per cell]
Pm (0.0000, 0.5000, 0.5000) [9 per cell]
Ir (0.0000, 0.0000, 0.5000) [3 per cell]
O (0.0000, 0.0000, 0.2262) [6 per cell]
O (0.0332, 0.5166, 0.2219) [18 per cell]